ErNbSO2 after structural relaxation. Source: OQMD, functional PBE.

The structure in CIF format:
```
data_ErNbSO2
_chemical_formula_sum 'Er1 Nb1 S1 O2'
_symmetry_space_group_name_H-M 'P 3 m 1'
_symmetry_Int_Tables_number 156
_symmetry_space_group_name_Hall 'P 3 -2"'
_cell_length_a 3.6527
_cell_length_b 3.6527
_cell_length_c 6.2422
_cell_angle_alpha 90.00
_cell_angle_beta 90.00
_cell_angle_gamma 120.00
loop_
_atom_site_label
_atom_site_type_symbol
_atom_site_fract_x
_atom_site_fract_y
_atom_site_fract_z
Er1 Er 0.0000 0.0000 0.0000
Nb1 Nb 0.6667 0.3333 0.4428
S1 S 0.3333 0.6667 0.6961
O1 O 0.0000 0.0000 0.3618
O2 O 0.6667 0.3333 0.0899
```

Summary:
Magnetic moment   0.1 μB per formula unit
Calculated total energy   -40.1 eV per cell